An optimized crystal structure of Ba3SrCa12, computed with PBE.

As for the density of states at the Fermi level: 19.37 states/eV/cell. The value obtained for the energy is -31.041 eV per cell. The value obtained for the size of the total moment is 0.00 μB per formula unit.

abc: 5.755 5.755 22.531
angles: 90.00 90.00 90.00
Element x y z (fractional)
Ca (0.500, 0.000, 0.374)
Ca (0.500, 0.500, 0.752)
Ca (0.000, 0.500, 0.626)
Ca (0.500, 0.000, 0.121)
Ca (0.000, 0.500, 0.121)
Ca (0.000, 0.500, 0.879)
Ca (0.500, 0.000, 0.626)
Ca (0.000, 0.500, 0.374)
Ca (0.500, 0.500, 0.000)
Ca (0.500, 0.500, 0.248)
Ca (0.500, 0.500, 0.500)
Ca (0.500, 0.000, 0.879)
Ba (0.000, 0.000, 0.247)
Ba (0.000, 0.000, 0.500)
Ba (0.000, 0.000, 0.753)
Sr (0.000, 0.000, 0.000)